[1]
DFT (GGA-PBE) results for a relaxed structure of Ta2HOsN.

Results
energy above the lowest structure with this stoichiometry	4.78	eV per formula unit

POSCAR file:
```
Ta2HOsN
1.0
5.020 0.000 0.000
0.000 3.686 0.000
0.000 0.000 5.020
Ta Os N H
2 1 1 1
direct
0.000 0.000 0.500
0.500 0.000 0.000
0.000 0.000 0.000
0.000 0.500 0.000
0.500 0.500 0.500
```

=====

[2]
DFT (GGA-PBE) results for a relaxed structure of LiCuAuS2.

Results
energy relative to the elements, uncorrected	0.45	eV per atom

POSCAR file:
```
LiCuAuS2
1.0
-2.227 -1.857 -3.913
4.042 -1.084 -1.786
-0.203 -4.351 2.180
S Li Cu Au
2 1 1 1
direct
0.500 0.000 0.000
0.000 0.000 0.500
0.000 0.500 0.000
0.500 0.500 0.500
0.000 0.000 0.000
```

=====

[3]
DFT (GGA-PBE) results for a relaxed structure of Tb3YC8.

Results
raw total energy	-93.36	eV per formula unit

POSCAR file:
```
Tb3YC8
1.0
5.710 0.000 1.183
-2.798 5.052 2.634
0.114 0.000 6.451
C Tb Y
8 3 1
direct
0.384 0.000 0.919
0.852 0.000 0.607
0.405 0.000 0.114
0.764 0.561 0.372
0.944 0.351 0.047
0.079 0.000 0.569
0.593 0.649 0.398
0.204 0.439 0.933
0.500 0.000 0.474
0.165 0.506 0.293
0.659 0.494 0.799
0.952 0.000 0.976
```